[1]
{
  "formula": "YGa4Cu2Pt",
  "functional": "GGA-PBE",
  "state": "optimized geometry",
  "lattice": [[2.0981, 1.2113, 8.9250], [-2.0981, 1.2113, 8.9250], [0.0000, -2.4227, 8.9250]],
  "species": ["Y", "Ga", "Ga", "Ga", "Ga", "Cu", "Cu", "Pt"],
  "fractional_positions": [[0.0000, 0.0000, 0.0000], [0.1266, 0.1266, 0.1266], [0.3998, 0.3998, 0.3998], [0.6002, 0.6002, 0.6002], [0.8734, 0.8734, 0.8734], [0.2500, 0.2500, 0.2500], [0.7500, 0.7500, 0.7500], [0.5000, 0.5000, 0.5000]],
  "final_energy_ev_per_atom": -4.52,
  "mass_density_g_cm3": 8.42,
  "formation_enthalpy_0k_mev_per_atom": -415
}



[2]
{
  "formula": "YGa4CuPt2",
  "functional": "GGA-PBE",
  "state": "optimized geometry",
  "lattice": [[2.1411, 1.2362, 8.5811], [-2.1411, 1.2362, 8.5811], [0.0000, -2.4724, 8.5811]],
  "species": ["Y", "Ga", "Ga", "Ga", "Ga", "Cu", "Pt", "Pt"],
  "fractional_positions": [[0.0000, 0.0000, 0.0000], [0.1320, 0.1320, 0.1320], [0.3976, 0.3976, 0.3976], [0.6024, 0.6024, 0.6024], [0.8680, 0.8680, 0.8680], [0.5000, 0.5000, 0.5000], [0.2403, 0.2403, 0.2403], [0.7597, 0.7597, 0.7597]],
  "final_energy_ev_per_atom": -4.93,
  "mass_density_g_cm3": 10.01,
  "formation_enthalpy_0k_mev_per_atom": -590
}